(1)
SiIr3: optimized geometry, PBE.

Values from the calculation:
The uncorrected formation energy is -0.142 eV/atom. The calculation puts the raw total energy at -8.1432 eV/atom.

a b c (Å): 3.8319 3.8319 3.8319
angles (deg): 90.00 90.00 90.00
Space group Pm-3m (No. 221)
Inequivalent atoms, fractional coordinates:
Si 0.0000 0.0000 0.0000 (multiplicity 1)
Ir 0.0000 0.5000 0.5000 (multiplicity 3)

=====

(2)
SiIr3: optimized geometry, PBE.

Values from the calculation:
The uncorrected formation energy is 0.471 eV/atom. The calculation puts the raw total energy at -7.5303 eV/atom.

a b c (Å): 4.8991 4.8991 4.8991
angles (deg): 90.00 90.00 90.00
Space group Pm-3n (No. 223)
Inequivalent atoms, fractional coordinates:
Si 0.0000 0.0000 0.0000 (multiplicity 2)
Ir 0.0000 0.2500 0.5000 (multiplicity 6)

=====

(3)
Si3Ir: optimized geometry, PBE.

Values from the calculation:
The uncorrected formation energy is 0.055 eV/atom. The calculation puts the raw total energy at -6.2280 eV/atom.

a b c (Å): 3.5911 3.5911 19.3199
angles (deg): 90.00 90.00 90.00
Space group I4/mmm (No. 139)
Inequivalent atoms, fractional coordinates:
Si 0.0000 0.0000 0.1046 (multiplicity 4)
Si 0.0000 0.5000 0.0000 (multiplicity 4)
Si 0.0000 0.5000 0.2500 (multiplicity 4)
Ir 0.0000 0.0000 0.3294 (multiplicity 4)

=====

(4)
Si2Ir: optimized geometry, PBE.

Values from the calculation:
The uncorrected formation energy is -0.206 eV/atom. The calculation puts the raw total energy at -6.7752 eV/atom.

a b c (Å): 2.8452 2.8452 21.2889
angles (deg): 90.00 90.00 90.00
Space group I4_1/amd (No. 141, origin choice 2)
Inequivalent atoms, fractional coordinates:
Si 0.0000 0.2500 0.2985 (multiplicity 8)
Ir 0.0000 0.2500 0.8750 (multiplicity 4)

=====

(5)
Si2Ir: optimized geometry, PBE.

Values from the calculation:
The uncorrected formation energy is -0.052 eV/atom. The calculation puts the raw total energy at -6.6208 eV/atom.

a b c (Å): 2.7973 2.7973 10.9697
angles (deg): 90.00 90.00 90.00
Space group I4/mmm (No. 139)
Inequivalent atoms, fractional coordinates:
Si 0.0000 0.0000 0.1536 (multiplicity 4)
Ir 0.0000 0.0000 0.5000 (multiplicity 2)

=====

(6)
SiIr3: optimized geometry, PBE.

Values from the calculation:
The uncorrected formation energy is -0.061 eV/atom. The calculation puts the raw total energy at -8.0629 eV/atom.

a b c (Å): 2.7650 3.7168 5.4796
angles (deg): 90.00 90.00 90.00
Space group Pmmm (No. 47)
Inequivalent atoms, fractional coordinates:
Si 0.0000 0.0000 0.0000 (multiplicity 1)
Ir 0.0000 0.0000 0.5000 (multiplicity 1)
Ir 0.5000 0.5000 0.2423 (multiplicity 2)

=====

(7)
Si3Ir: optimized geometry, PBE.

Values from the calculation:
The uncorrected formation energy is -0.086 eV/atom. The calculation puts the raw total energy at -6.3688 eV/atom.

a b c (Å): 2.8349 3.8865 11.6731
angles (deg): 90.00 90.00 90.00
Space group Immm (No. 71)
Inequivalent atoms, fractional coordinates:
Si 0.0000 0.0000 0.0000 (multiplicity 2)
Si 0.0000 0.0000 0.2904 (multiplicity 4)
Ir 0.0000 0.0000 0.5000 (multiplicity 2)

=====

(8)
SiIr2: optimized geometry, PBE.

Values from the calculation:
The uncorrected formation energy is -0.340 eV/atom. The calculation puts the raw total energy at -8.0550 eV/atom.

a b c (Å): 2.8506 13.0827 4.5040
angles (deg): 90.00 90.00 90.00
Space group Cmcm (No. 63)
Inequivalent atoms, fractional coordinates:
Si 0.0000 0.2119 0.2500 (multiplicity 4)
Ir 0.0000 0.1353 0.7500 (multiplicity 4)
Ir 0.0000 0.4420 0.7500 (multiplicity 4)

=====

(9)
Si2Ir: optimized geometry, PBE.

Values from the calculation:
The uncorrected formation energy is 0.101 eV/atom. The calculation puts the raw total energy at -6.4683 eV/atom.

a b c (Å): 4.3354 4.3354 5.2330
angles (deg): 90.00 90.00 120.00
Space group P6_3/mmc (No. 194)
Inequivalent atoms, fractional coordinates:
Si 0.0000 0.0000 0.0000 (multiplicity 2)
Si 0.3333 0.6667 0.2500 (multiplicity 2)
Ir 0.3333 0.6667 0.7500 (multiplicity 2)

=====

(10)
Si3Ir5: optimized geometry, PBE.

Values from the calculation:
The calculation puts the polymorph energy (0 for the lowest one) at 0.118 eV/atom. The uncorrected formation energy is -0.288 eV/atom. The calculation puts the raw total energy at -7.8599 eV/atom.

a b c (Å): 7.1219 7.1219 5.3551
angles (deg): 90.00 90.00 120.00
Space group P6_3/mcm (No. 193)
Inequivalent atoms, fractional coordinates:
Si 0.0000 0.3688 0.2500 (multiplicity 6)
Ir 0.0000 0.2963 0.7500 (multiplicity 6)
Ir 0.3333 0.6667 0.0000 (multiplicity 4)

=====

(11)
SiIr2: optimized geometry, PBE.

Values from the calculation:
The uncorrected formation energy is -0.355 eV/atom. The calculation puts the raw total energy at -8.0705 eV/atom.

a b c (Å): 2.8810 2.8810 20.6525
angles (deg): 90.00 90.00 90.00
Space group I4_1/amd (No. 141, origin choice 2)
Inequivalent atoms, fractional coordinates:
Si 0.0000 0.2500 0.3750 (multiplicity 4)
Ir 0.0000 0.2500 0.8061 (multiplicity 8)

=====

(12)
Si3Ir5: optimized geometry, PBE.

Values from the calculation:
The calculation puts the polymorph energy (0 for the lowest one) at 0.060 eV/atom. The uncorrected formation energy is -0.346 eV/atom. The calculation puts the raw total energy at -7.9181 eV/atom.

a b c (Å): 9.4501 7.2156 6.7019
angles (deg): 90.00 90.00 90.00
Space group Pnma (No. 62)
Inequivalent atoms, fractional coordinates:
Si 0.0416 0.2500 0.0803 (multiplicity 4)
Si 0.1942 0.5406 0.4242 (multiplicity 8)
Ir 0.0497 0.0558 0.7903 (multiplicity 8)
Ir 0.0548 0.2500 0.4427 (multiplicity 4)
Ir 0.1970 0.7500 0.1455 (multiplicity 4)
Ir 0.2099 0.7500 0.7089 (multiplicity 4)